Record 1
# MgAlIn3

An optimized crystal structure of MgAlIn3 (PBE, the Alexandria database).

```
data_MgAlIn3
_chemical_formula_sum 'Mg1 Al1 In3'
_space_group_name_H-M_alt 'P m -3 m'
_space_group_IT_number 221
_space_group_name_Hall '-P 4 2 3'
_cell_length_a 5.353
_cell_length_b 5.353
_cell_length_c 5.353
_cell_angle_alpha 90.00
_cell_angle_beta 90.00
_cell_angle_gamma 90.00
loop_
_atom_site_label
_atom_site_type_symbol
_atom_site_fract_x
_atom_site_fract_y
_atom_site_fract_z
Mg1 Mg 0.000 0.000 0.000
Al1 Al 0.500 0.500 0.500
In1 In 0.000 0.500 0.500
```

---

Record 2
# Ag4P

An optimized crystal structure of Ag4P (PBE, the Alexandria database).

```
data_Ag4P
_chemical_formula_sum 'Ag4 P1'
_space_group_name_H-M_alt 'P m -3 m'
_space_group_IT_number 221
_space_group_name_Hall '-P 4 2 3'
_cell_length_a 4.743
_cell_length_b 4.743
_cell_length_c 4.743
_cell_angle_alpha 90.00
_cell_angle_beta 90.00
_cell_angle_gamma 90.00
loop_
_atom_site_label
_atom_site_type_symbol
_atom_site_fract_x
_atom_site_fract_y
_atom_site_fract_z
Ag1 Ag 0.000 0.000 0.000
Ag2 Ag 0.000 0.500 0.500
P1 P 0.500 0.500 0.500
```

---

Record 3
# Li2Cd2BPd4

An optimized crystal structure of Li2Cd2BPd4 (PBE, the Alexandria database).

```
data_Li2Cd2BPd4
_chemical_formula_sum 'Li4 Cd4 B2 Pd8'
_space_group_name_H-M_alt 'I 4/m m m'
_space_group_IT_number 139
_space_group_name_Hall '-I 4 2'
_cell_length_a 5.719
_cell_length_b 5.719
_cell_length_c 8.373
_cell_angle_alpha 90.00
_cell_angle_beta 90.00
_cell_angle_gamma 90.00
loop_
_atom_site_label
_atom_site_type_symbol
_atom_site_fract_x
_atom_site_fract_y
_atom_site_fract_z
Li1 Li 0.000 0.000 0.225
Cd1 Cd 0.000 0.500 0.250
B1 B 0.000 0.000 0.500
Pd1 Pd 0.248 0.248 0.000
```

---

Record 4
# TlMo2Os

An optimized crystal structure of TlMo2Os (PBE, the Alexandria database).

```
data_TlMo2Os
_chemical_formula_sum 'Tl1 Mo2 Os1'
_space_group_name_H-M_alt 'P 4/m m m'
_space_group_IT_number 123
_space_group_name_Hall '-P 4 2'
_cell_length_a 2.881
_cell_length_b 2.881
_cell_length_c 8.219
_cell_angle_alpha 90.00
_cell_angle_beta 90.00
_cell_angle_gamma 90.00
loop_
_atom_site_label
_atom_site_type_symbol
_atom_site_fract_x
_atom_site_fract_y
_atom_site_fract_z
Tl1 Tl 0.000 0.000 0.000
Mo1 Mo 0.500 0.500 0.280
Os1 Os 0.000 0.000 0.500
```

---

Record order is preserved below.
Fermi-level density of states: 2.012; 1.720; 4.401; 2.176 states/eV/cell
Record order is preserved below.
V: 153.4; 106.7; 136.9; 68.2 Å³/f.u.
Record order is preserved below.
Formation energy: 33.0; 30.3; -38.0; 36.7 kJ/mol of atoms